{"formula": "ScRe2Si", "functional": "PBE", "state": "relaxed", "e_form_raw_kcal_per_mol_atoms": -4.386, "volume_a3_per_cell": 63, "total_energy_ev_per_atom": -9.35, "spacegroup": "Pm (6)", "cell": [[2.996, 0.000, 0.000], [0.000, 4.343, 0.000], [-1.184, 0.000, 4.848]], "species": ["Sc", "Re", "Re", "Si"], "frac_coords": [[0.000, 0.000, 0.000], [0.266, 0.500, 0.659], [0.596, 0.000, 0.490], [0.568, 0.500, 0.202]]}

{"formula": "ScRe3Si", "functional": "PBE", "state": "relaxed", "de_polymorph_mev_per_atom": 1897, "e_form_raw_kcal_per_mol_atoms": 60.688, "volume_a3_per_cell": 98, "total_energy_ev_per_atom": -7.19, "spacegroup": "Pm-3m (221)", "cell": [[4.611, 0.000, 0.000], [0.000, 4.611, 0.000], [0.000, 0.000, 4.611]], "species": ["Sc", "Re", "Re", "Re", "Si"], "frac_coords": [[0.000, 0.000, 0.000], [0.000, 0.000, 0.500], [0.000, 0.500, 0.000], [0.500, 0.000, 0.000], [0.500, 0.500, 0.500]]}

{"formula": "ScReSi", "functional": "PBE", "state": "relaxed", "e_form_raw_kcal_per_mol_atoms": -3.013, "volume_a3_per_cell": 53, "total_energy_ev_per_atom": -8.20, "spacegroup": "F-43m (216)", "cell": [[0.000, 2.980, 2.980], [2.980, 0.000, 2.980], [2.980, 2.980, 0.000]], "species": ["Sc", "Re", "Si"], "frac_coords": [[0.000, 0.000, 0.000], [0.500, 0.500, 0.500], [0.750, 0.750, 0.750]]}

{"formula": "ScReSi", "functional": "PBE", "state": "relaxed", "e_form_raw_kcal_per_mol_atoms": -7.565, "volume_a3_per_cell": 51, "total_energy_ev_per_atom": -8.40, "spacegroup": "P-6m2 (187)", "cell": [[4.168, 0.000, 0.000], [-2.084, 3.609, 0.000], [0.000, 0.000, 3.405]], "species": ["Sc", "Re", "Si"], "frac_coords": [[0.000, 0.000, 0.000], [0.333, 0.667, 0.500], [0.667, 0.333, 0.500]]}

{"formula": "ScRe2Si", "functional": "PBE", "state": "relaxed", "e_form_raw_kcal_per_mol_atoms": -0.037, "volume_a3_per_cell": 62, "total_energy_ev_per_atom": -9.16, "spacegroup": "Cmmm (65)", "cell": [[1.587, -2.351, 0.000], [1.587, 2.351, 0.000], [0.000, 0.000, 8.312]], "species": ["Sc", "Re", "Re", "Si"], "frac_coords": [[0.000, 0.000, 0.000], [0.500, 0.500, 0.275], [0.500, 0.500, 0.725], [0.000, 0.000, 0.500]]}

{"formula": "ScRe2Si", "functional": "PBE", "state": "relaxed", "e_form_raw_kcal_per_mol_atoms": -0.905, "volume_a3_per_cell": 61, "total_energy_ev_per_atom": -9.20, "spacegroup": "I-4m2 (119)", "cell": [[-2.068, 2.068, 3.591], [2.068, -2.068, 3.591], [2.068, 2.068, -3.591]], "species": ["Sc", "Re", "Re", "Si"], "frac_coords": [[0.000, 0.000, 0.000], [0.500, 0.500, 0.000], [0.750, 0.250, 0.500], [0.250, 0.750, 0.500]]}

{"formula": "ScRe2Si", "functional": "PBE", "state": "relaxed", "e_form_raw_kcal_per_mol_atoms": -2.551, "volume_a3_per_cell": 63, "total_energy_ev_per_atom": -9.27, "spacegroup": "C2/m (12)", "cell": [[4.566, -1.534, 0.000], [4.566, 1.534, 0.000], [-1.423, 0.000, 4.500]], "species": ["Sc", "Re", "Re", "Si"], "frac_coords": [[0.000, 0.000, 0.000], [0.230, 0.230, 0.708], [0.770, 0.770, 0.292], [0.500, 0.500, 0.500]]}

{"formula": "ScRe2Si", "functional": "PBE", "state": "relaxed", "e_form_raw_kcal_per_mol_atoms": -0.853, "volume_a3_per_cell": 63, "total_energy_ev_per_atom": -9.20, "spacegroup": "P2/m (10)", "cell": [[2.849, 0.000, 0.000], [0.000, 4.448, 0.000], [-0.238, 0.000, 4.971]], "species": ["Sc", "Re", "Re", "Si"], "frac_coords": [[0.000, 0.000, 0.000], [0.334, 0.500, 0.747], [0.666, 0.500, 0.253], [0.500, 0.000, 0.500]]}